## one
# Fe2OsAu

An optimized crystal structure of Fe2OsAu (PBE-GGA, Alexandria via LeMat-Bulk).

Calculated values
- spin magnetization (μB/f.u.) = 5.2

Cell: 3.148 3.148 5.678 Å, 90.00 90.00 90.00°
Space group P4/mmm (No. 123)
Asymmetric unit:
Fe: 0.000 0.000 0.220 x2
Os: 0.500 0.500 0.000 x1
Au: 0.500 0.500 0.500 x1

***

## two
# Fe2OsAu

An optimized crystal structure of Fe2OsAu (PBE-GGA, Alexandria via LeMat-Bulk).

Calculated values
- spin magnetization (μB/f.u.) = 5.6

Cell: 2.926 4.368 8.790 Å, 90.00 90.00 90.00°
Space group Imm2 (No. 44)
Asymmetric unit:
Fe: 0.000 0.000 0.000 x2
Fe: 0.000 0.500 0.278 x2
Os: 0.000 0.500 0.742 x2
Au: 0.000 0.000 0.520 x2

***

Winner for stability: one

***

## one
# Si2TeP

An optimized crystal structure of Si2TeP (PBE-GGA, Alexandria via LeMat-Bulk).

Calculated values
- spin magnetization (μB/f.u.) = 0.0

Cell: 9.970 3.296 5.963 Å, 90.00 90.65 90.00°
Space group Cm (No. 8)
Asymmetric unit:
Si: 0.000 0.000 0.000 x2
Si: 0.195 0.500 0.050 x2
Te: 0.096 0.000 0.412 x2
P: 0.345 0.000 0.902 x2

***

## two
# Si2TeP

An optimized crystal structure of Si2TeP (PBE-GGA, Alexandria via LeMat-Bulk).

Calculated values
- spin magnetization (μB/f.u.) = 0.0

Cell: 4.682 4.682 3.371 Å, 90.00 90.00 90.00°
Space group P4/mmm (No. 123)
Asymmetric unit:
Si: 0.000 0.500 0.000 x2
Te: 0.000 0.000 0.500 x1
P: 0.500 0.500 0.500 x1

***

Winner for stability: one

***

## one
# B2C

An optimized crystal structure of B2C (PBE-GGA, Alexandria via LeMat-Bulk).

Calculated values
- spin magnetization (μB/f.u.) = 0.0

Cell: 12.060 2.750 5.609 Å, 90.00 104.75 90.00°
Space group Cm (No. 8)
Asymmetric unit:
B: 0.000 0.000 0.000 x2
B: 0.003 0.000 0.386 x2
B: 0.122 0.500 0.759 x2
B: 0.146 0.500 0.277 x2
B: 0.224 0.000 0.839 x2
B: 0.275 0.000 0.597 x2
B: 0.304 0.500 0.875 x2
B: 0.318 0.000 0.143 x2
C: 0.058 0.500 0.477 x2
C: 0.059 0.500 0.976 x2
C: 0.234 0.000 0.324 x2
C: 0.398 0.500 0.143 x2

***

## two
# B2C

An optimized crystal structure of B2C (PBE-GGA, Alexandria via LeMat-Bulk).

Calculated values
- spin magnetization (μB/f.u.) = 0.0

Cell: 3.421 4.420 5.419 Å, 91.54 99.81 90.77°
Space group P1 (No. 1)
Asymmetric unit:
B: 0.000 0.000 0.000 x1
B: 0.012 0.235 0.510 x1
B: 0.118 0.659 0.883 x1
B: 0.325 0.942 0.716 x1
B: 0.360 0.153 0.268 x1
B: 0.464 0.451 0.069 x1
B: 0.736 0.914 0.401 x1
B: 0.922 0.669 0.173 x1
C: 0.245 0.482 0.356 x1
C: 0.533 0.665 0.552 x1
C: 0.641 0.209 0.861 x1
C: 0.814 0.446 0.700 x1

***

Winner for stability: one

***

## one
# Cd2AgBr

An optimized crystal structure of Cd2AgBr (PBE-GGA, Alexandria via LeMat-Bulk).

Calculated values
- spin magnetization (μB/f.u.) = 0.0

Cell: 3.420 3.420 7.985 Å, 90.00 90.00 90.00°
Space group P4mm (No. 99)
Asymmetric unit:
Cd: 0.000 0.000 0.000 x1
Cd: 0.500 0.500 0.258 x1
Ag: 0.000 0.000 0.478 x1
Br: 0.500 0.500 0.733 x1

***

## two
# Cd2AgBr

An optimized crystal structure of Cd2AgBr (PBE-GGA, Alexandria via LeMat-Bulk).

Calculated values
- spin magnetization (μB/f.u.) = 0.0

Cell: 3.503 6.462 9.278 Å, 90.00 90.00 90.00°
Space group Immm (No. 71)
Asymmetric unit:
Cd: 0.000 0.000 0.240 x4
Ag: 0.000 0.500 0.500 x2
Br: 0.000 0.500 0.000 x2

***

Winner for stability: two

***

## one
# SiHgRh2

An optimized crystal structure of SiHgRh2 (PBE-GGA, Alexandria via LeMat-Bulk).

Calculated values
- spin magnetization (μB/f.u.) = 0.0

Cell: 3.6139 3.6139 18.2312 Å, 90.00 90.00 120.00°
Space group R-3m (No. 166, hexagonal axes)
Asymmetric unit:
Si: 0.0000 0.0000 0.0000 x3
Hg: 0.0000 0.0000 0.5000 x3
Rh: 0.0000 0.0000 0.2745 x6

***

## two
# SiHgRh2

An optimized crystal structure of SiHgRh2 (PBE-GGA, Alexandria via LeMat-Bulk).

Calculated values
- spin magnetization (μB/f.u.) = 0.0

Cell: 3.033 4.279 5.132 Å, 90.00 96.68 90.00°
Space group Pm (No. 6)
Asymmetric unit:
Si: 0.000 0.000 0.000 x1
Hg: 0.917 0.500 0.473 x1
Rh: 0.348 0.500 0.011 x1
Rh: 0.450 0.000 0.645 x1

***

Winner for stability: one

***

## one
# Ta2FePt

An optimized crystal structure of Ta2FePt (PBE-GGA, Alexandria via LeMat-Bulk).

Calculated values
- spin magnetization (μB/f.u.) = 2.0

Cell: 2.9228 2.9228 26.5474 Å, 90.00 90.00 120.00°
Space group R3m (No. 160, hexagonal axes)
Asymmetric unit:
Ta: 0.0000 0.0000 0.0000 x3
Ta: 0.0000 0.0000 0.2394 x3
Fe: 0.0000 0.0000 0.7410 x3
Pt: 0.0000 0.0000 0.4886 x3

***

## two
# Ta2FePt

An optimized crystal structure of Ta2FePt (PBE-GGA, Alexandria via LeMat-Bulk).

Calculated values
- spin magnetization (μB/f.u.) = 1.3

Cell: 6.353 6.353 6.353 Å, 90.00 90.00 90.00°
Space group Fm-3m (No. 225)
Asymmetric unit:
Ta: 0.250 0.250 0.250 x8
Fe: 0.000 0.000 0.000 x4
Pt: 0.000 0.000 0.500 x4

***

Winner for stability: two

***

## one
# Dy2AgPd

An optimized crystal structure of Dy2AgPd (PBE-GGA, Alexandria via LeMat-Bulk).

Calculated values
- spin magnetization (μB/f.u.) = 0.0

Cell: 3.562 3.562 7.203 Å, 90.00 90.00 90.00°
Space group P4/mmm (No. 123)
Asymmetric unit:
Dy: 0.000 0.000 0.239 x2
Ag: 0.500 0.500 0.500 x1
Pd: 0.500 0.500 0.000 x1

***

## two
# Dy2AgPd

An optimized crystal structure of Dy2AgPd (PBE-GGA, Alexandria via LeMat-Bulk).

Calculated values
- spin magnetization (μB/f.u.) = 0.0

Cell: 7.139 7.139 7.139 Å, 90.00 90.00 90.00°
Space group Fm-3m (No. 225)
Asymmetric unit:
Dy: 0.250 0.250 0.250 x8
Ag: 0.000 0.000 0.000 x4
Pd: 0.000 0.000 0.500 x4

***

Winner for stability: one

***

## one
# LiNbZn

An optimized crystal structure of LiNbZn (PBE-GGA, Alexandria via LeMat-Bulk).

Calculated values
- spin magnetization (μB/f.u.) = 0.0

Cell: 4.472 7.400 5.369 Å, 90.00 90.00 90.00°
Space group Cmcm (No. 63)
Asymmetric unit:
Li: 0.000 0.182 0.250 x4
Nb: 0.000 0.157 0.750 x4
Zn: 0.000 0.500 0.000 x4

***

## two
# LiNbZn

An optimized crystal structure of LiNbZn (PBE-GGA, Alexandria via LeMat-Bulk).

Calculated values
- spin magnetization (μB/f.u.) = 0.0

Cell: 2.851 5.178 7.027 Å, 103.48 91.71 105.64°
Space group P-1 (No. 2)
Asymmetric unit:
Li: 0.199 0.361 0.118 x2
Nb: 0.075 0.274 0.536 x2
Zn: 0.479 0.946 0.186 x2

***

Winner for stability: two